# 1
A relaxed structure of PuPaOs, computed with PBE.

Cell and atoms, written as POSCAR:
```
PuPaOs
1.0
-1.8058 -1.6167 4.0734
-3.8310 -2.7907 -0.0481
0.3977 -4.5904 1.1122
Os Pa Pu
1 1 1
Cartesian
0.0000 0.0000 0.0000 Os
-1.3098 -2.2495 1.2844 Pa
-3.9293 -6.7484 3.8532 Pu
```

Values from the calculation:
As for the space group: F-43m, No. 216. The raw total energy is -11.63 eV per atom. The calculation puts the formation energy at -18 meV/atom.

# 2
A relaxed structure of Ta14Al, computed with PBE.

Cell and atoms, written as POSCAR:
```
Ta14Al
1.0
-4.3253 -2.3274 8.9908
7.8504 -6.2154 2.1678
2.5448 4.0026 2.2604
Al Ta
2 28
Cartesian
0.0000 0.0000 0.0000 Al
3.0349 -2.2701 6.7095 Al
-2.6857 -2.1429 6.8182 Ta
-0.9977 -1.8848 4.4607 Ta
-2.0127 -3.7739 8.9486 Ta
1.3888 -3.3656 4.3961 Ta
3.0921 -3.1907 2.1689 Ta
0.4330 -5.3520 8.9896 Ta
2.1363 -5.1772 6.7624 Ta
5.5379 -4.7689 2.2099 Ta
4.5228 -6.6580 6.6978 Ta
6.2109 -6.3999 4.3403 Ta
0.1549 -2.5579 7.3990 Ta
4.6387 -3.9896 4.8864 Ta
1.2872 -0.5693 2.6214 Ta
3.5142 -5.9662 9.6707 Ta
-1.1741 0.3196 6.8623 Ta
-1.7619 -0.7384 9.3975 Ta
1.3005 -0.5125 5.5498 Ta
0.0100 -2.5499 10.6104 Ta
3.6251 -1.2548 4.2472 Ta
2.4448 -3.2854 9.1718 Ta
6.0599 -1.9903 2.8085 Ta
4.7693 -4.0277 7.8691 Ta
7.8318 -3.8018 4.0214 Ta
7.2440 -4.8598 6.5566 Ta
2.5557 1.4260 3.7482 Ta
4.7827 -3.9709 10.7975 Ta
1.4311 -0.5506 8.5326 Ta
5.9149 -1.9823 6.0199 Ta
```

Values from the calculation:
As for the space group: P4_2/mnm, No. 136. The raw total energy is -11.34 eV per atom.

# 3
A relaxed structure of LiTaGaCu, computed with PBE.

Cell and atoms, written as POSCAR:
```
LiTaGaCu
1.0
-0.2742 -4.0107 -1.4884
0.3454 -3.3150 2.6959
-3.4395 -2.3924 0.9071
Cu Ga Li Ta
1 1 1 1
Cartesian
-2.5262 -7.2885 1.5860 Cu
0.0000 0.0000 0.0000 Ga
-0.8421 -2.4295 0.5287 Li
-1.6841 -4.8590 1.0574 Ta
```

Values from the calculation:
As for the space group: F-43m, No. 216. The raw total energy is -4.93 eV per atom.

# 4
A relaxed structure of Cs3PrF6, computed with PBE.

Cell and atoms, written as POSCAR:
```
Cs3PrF6
1.0
0.0000 4.9039 4.9039
4.9039 0.0000 4.9039
4.9039 4.9039 0.0000
Cs F Pr
3 6 1
Cartesian
2.4519 2.4519 2.4519 Cs
4.9039 4.9039 4.9039 Cs
7.3558 7.3558 7.3558 Cs
4.9039 2.2543 4.9039 F
2.2543 4.9039 4.9039 F
4.9039 4.9039 7.5534 F
4.9039 4.9039 2.2543 F
4.9039 7.5534 4.9039 F
7.5534 4.9039 4.9039 F
0.0000 0.0000 0.0000 Pr
```

Values from the calculation:
As for the space group: Fm-3m, No. 225. The raw total energy is -5.02 eV per atom.